Density functional theory data (PBE) for a relaxed structure of LaYNi2.

a b c (Å): 7.3079 7.3079 6.1747
angles (deg): 53.72 53.72 90.00
Fractional positions:
Ni (0.8750, 0.8751, 0.7500)
Ni (0.3750, 0.3749, 0.7500)
Y (0.2500, 0.7500, 0.5000)
Y (0.5000, 0.5000, 0.0000)
La (0.7500, 0.2500, 0.5000)
Ni (0.6251, 0.1250, 0.2500)
Ni (0.1249, 0.6250, 0.2500)
La (0.0000, 0.0000, 0.0000)

Calculated values
The total moment is 0.00 μB/f.u. The offset from the most stable computed form is 0.400 eV/atom. Its formation enthalpy at 0 K is 30 meV per atom. As for the density: 6.4 g cm⁻³.